Record 1
MgZrTa | PBE | optimized geometry

Cell lengths 5.0886, 5.0886, 2.7223 Å; angles 90.00, 90.00, 120.00 degrees
With the nearest neighbours (Å) after each atom.
Positions (direct):
1 Mg 0.0000 0.0000 0.0123  2 Mg 2.72, 3 Ta 3.03
2 Ta 0.6667 0.3333 0.2794  2 Ta 2.72, 3 Mg 3.03
3 Zr 0.3333 0.6667 0.7084  2 Zr 2.72

Output
Total magnetization (μB/f.u.): 0.00
ΔE_f (meV/atom): 252
E (eV per atom): -7.079
Calculated density (g cm⁻³): 8.06
E above lowest polymorph (meV per atom): 206
Fermi-level density of states (states/eV per cell): 4.7

---

Record 2
MgZrTa2 | PBE | optimized geometry

Cell lengths 3.4523, 3.4523, 6.7649 Å; angles 90.00, 90.00, 90.00 degrees
With the nearest neighbours (Å) after each atom.
Positions (direct):
1 Mg 0.5000 0.5000 0.7674  5 Ta 2.99-3.12, 4 Zr 3.12
2 Ta 0.0000 0.0000 0.0238  4 Ta 2.81, 4 Mg 2.99, 1 Zr 3.09
3 Ta 0.5000 0.5000 0.2285  4 Ta 2.81, 4 Zr 2.98, 1 Mg 3.12
4 Zr 0.0000 0.0000 0.4803  5 Ta 2.98-3.09, 4 Mg 3.12

Output
Total magnetization (μB/f.u.): 0.00
ΔE_f (meV/atom): 137
E (eV per atom): -8.325
Calculated density (g cm⁻³): 9.83
Fermi-level density of states (states/eV per cell): 4.3

---

Q: The highest E belongs to which entry?
A: MgZrTa